(1)
This record from Alexandria describes NaCePtO4 after structural relaxation. The functional is GGA-PBE.

Cell lengths 7.185, 7.185, 7.185 Å; angles 128.83, 123.22, 79.93 degrees
Element x y z (fractional)
Na 0.408 0.158 0.250
Na 0.592 0.842 0.750
Ce 0.000 0.500 0.500
Ce 0.500 0.500 0.000
Pt 0.000 0.000 0.500
Pt 0.000 0.500 0.000
O 0.160 0.727 0.433
O 0.206 0.273 0.933
O 0.283 0.321 0.538
O 0.283 0.745 0.962
O 0.717 0.255 0.038
O 0.717 0.679 0.462
O 0.794 0.727 0.067
O 0.840 0.273 0.567

Calculated values
The value obtained for the uncorrected formation energy is -1.82 eV/atom.

=====

(2)
This record from Alexandria describes NaH8PdPt2 after structural relaxation. The functional is GGA-PBE.

Cell lengths 6.186, 6.186, 6.186 Å; angles 46.68, 46.68, 46.68 degrees
Element x y z (fractional)
Na 0.000 0.000 0.000
H 0.121 0.432 0.777
H 0.223 0.879 0.568
H 0.308 0.308 0.308
H 0.432 0.777 0.121
H 0.568 0.223 0.879
H 0.692 0.692 0.692
H 0.777 0.121 0.432
H 0.879 0.568 0.223
Pd 0.500 0.500 0.500
Pt 0.211 0.211 0.211
Pt 0.789 0.789 0.789

Calculated values
The calculated total energy is -45.69 eV for the cell shown.

=====

(3)
This record from Alexandria describes Sr2NdUN4 after structural relaxation. The functional is GGA-PBE.

Cell lengths 6.250, 3.645, 6.364 Å; angles 90.00, 109.24, 90.00 degrees
Element x y z (fractional)
Sr 0.000 0.000 0.000
Sr 0.500 0.500 0.000
Nd 0.000 0.500 0.500
U 0.500 0.000 0.500
N 0.275 0.000 0.700
N 0.286 0.500 0.297
N 0.714 0.500 0.703
N 0.725 0.000 0.300

Calculated values
The value obtained for the uncorrected formation energy is -1.18 eV/atom.

=====

(4)
This record from Alexandria describes K2LiH6Ir after structural relaxation. The functional is GGA-PBE.

Cell lengths 5.717, 5.717, 4.929 Å; angles 90.00, 90.00, 120.00 degrees
Element x y z (fractional)
K 0.333 0.667 0.219
K 0.667 0.333 0.781
Li 0.000 0.000 0.500
H 0.139 0.279 0.800
H 0.139 0.861 0.800
H 0.279 0.139 0.200
H 0.721 0.861 0.800
H 0.861 0.139 0.200
H 0.861 0.721 0.200
Ir 0.000 0.000 0.000

Calculated values
The calculated total energy is -37.65 eV for the cell shown.

=====

(5)
This record from Alexandria describes CsLiMn2W after structural relaxation. The functional is GGA-PBE.

Cell lengths 5.034, 5.034, 5.170 Å; angles 90.00, 90.00, 90.00 degrees
Element x y z (fractional)
Cs 0.000 0.000 0.000
Li 0.500 0.500 0.500
Mn 0.000 0.500 0.000
Mn 0.500 0.000 0.000
W 0.000 0.000 0.500

Calculated values
For the formation enthalpy at 0 K, the calculation gives 2.80 eV per atom.

=====

(6)
This record from Alexandria describes VTeRh after structural relaxation. The functional is GGA-PBE.

Cell lengths 3.952, 3.952, 6.755 Å; angles 90.42, 90.42, 89.90 degrees
Element x y z (fractional)
V 0.244 0.756 0.000
V 0.756 0.244 0.000
Te 0.251 0.251 0.307
Te 0.749 0.749 0.693
Rh 0.253 0.253 0.737
Rh 0.747 0.747 0.263

Calculated values
The value obtained for the uncorrected formation energy is -0.24 eV/atom.

=====

(7)
This record from Alexandria describes Cu2WSe after structural relaxation. The functional is GGA-PBE.

Cell lengths 5.246, 5.246, 5.246 Å; angles 147.12, 131.97, 59.43 degrees
Element x y z (fractional)
Cu 0.239 0.239 0.000
Cu 0.761 0.761 0.000
W 0.500 0.000 0.500
Se 0.000 0.500 0.500

Calculated values
The value obtained for the uncorrected formation energy is 0.47 eV/atom.

=====

| no. | magnetic moment (μB per cell) |
| --- | --- |
| 1 | 0.96 |
| 2 | 0.00 |
| 3 | 0.81 |
| 4 | 0.12 |
| 5 | 5.10 |
| 6 | 0.00 |
| 7 | 0.00 |